# 1
Entry from Alexandria via LeMat-Bulk: a relaxed structure of LiTcRh2 (PBEsol).

Cell lengths 3.6089, 3.6089, 7.9612 Å; angles 90.00, 90.00, 90.00 degrees
Space group I-4m2 (No. 119)
Inequivalent atoms, fractional coordinates:
Li1 0.0000 0.0000 0.0000 [2 per cell]
Tc1 0.0000 0.5000 0.7500 [2 per cell]
Rh1 0.0000 0.0000 0.5000 [2 per cell]
Rh2 0.0000 0.5000 0.2500 [2 per cell]

Calculated values
As for the polymorph energy (0 for the lowest one): 57 kJ/mol of formula units. The energy comes out at -7.320 eV/atom. The calculation puts the formation energy at 0.0577 eV per atom.

# 2
Entry from Alexandria via LeMat-Bulk: a relaxed structure of LiTcRh2 (PBEsol).

Cell lengths 2.7483, 4.5132, 8.7940 Å; angles 90.00, 90.00, 90.00 degrees
Space group Cmmm (No. 65)
Inequivalent atoms, fractional coordinates:
Li1 0.0000 0.0000 0.0000 [2 per cell]
Tc1 0.0000 0.0000 0.5000 [2 per cell]
Rh1 0.0000 0.5000 0.2487 [4 per cell]

Calculated values
As for the polymorph energy (0 for the lowest one): 74 kJ/mol of formula units. The energy comes out at -7.277 eV/atom. The calculation puts the formation energy at 0.1004 eV per atom.

What did the first record say?
Entry from Alexandria via LeMat-Bulk: a relaxed structure of LiTcRh2 (PBEsol).

Cell lengths 3.6089, 3.6089, 7.9612 Å; angles 90.00, 90.00, 90.00 degrees
Space group I-4m2 (No. 119)
Inequivalent atoms, fractional coordinates:
Li1 0.0000 0.0000 0.0000 [2 per cell]
Tc1 0.0000 0.5000 0.7500 [2 per cell]
Rh1 0.0000 0.0000 0.5000 [2 per cell]
Rh2 0.0000 0.5000 0.2500 [2 per cell]

Calculated values
As for the polymorph energy (0 for the lowest one): 57 kJ/mol of formula units. The energy comes out at -7.320 eV/atom. The calculation puts the formation energy at 0.0577 eV per atom.

What did the first record say?
Entry from Alexandria via LeMat-Bulk: a relaxed structure of LiTcRh2 (PBEsol).

Cell lengths 3.6089, 3.6089, 7.9612 Å; angles 90.00, 90.00, 90.00 degrees
Space group I-4m2 (No. 119)
Inequivalent atoms, fractional coordinates:
Li1 0.0000 0.0000 0.0000 [2 per cell]
Tc1 0.0000 0.5000 0.7500 [2 per cell]
Rh1 0.0000 0.0000 0.5000 [2 per cell]
Rh2 0.0000 0.5000 0.2500 [2 per cell]

Calculated values
As for the polymorph energy (0 for the lowest one): 57 kJ/mol of formula units. The energy comes out at -7.320 eV/atom. The calculation puts the formation energy at 0.0577 eV per atom.